# 1
DFT (GGA-PBE) results for a relaxed K4Cd12HgPt3 crystal.

a b c (Å): 10.726 10.726 10.726
angles (deg): 90.00 90.00 90.00
Space group Im-3m (No. 229)
Symmetry-distinct sites (fractional):
K (0.250, 0.250, 0.250) [8 per cell]
Cd (0.000, 0.000, 0.258) [12 per cell]
Cd (0.000, 0.250, 0.500) [12 per cell]
Hg (0.000, 0.000, 0.000) [2 per cell]
Pt (0.000, 0.000, 0.500) [6 per cell]

Calculated values
- volume (Å³ per cell) = 1233.9
- raw total energy (eV per cell) = -74.52
- density of states at the Fermi level (states/eV per atom) = 0.36
- size of the total moment (μB/f.u.) = 0.0
- formation energy (kJ per mole of atoms) = -16.72

---

# 2
DFT (GGA-PBE) results for a relaxed K2CdHgPt crystal.

a b c (Å): 6.138 6.138 5.273
angles (deg): 90.00 90.00 90.00
Space group P4/mmm (No. 123)
Symmetry-distinct sites (fractional):
K (0.000, 0.500, 0.000) [2 per cell]
Cd (0.000, 0.000, 0.500) [1 per cell]
Hg (0.500, 0.500, 0.500) [1 per cell]
Pt (0.000, 0.000, 0.000) [1 per cell]

Calculated values
- volume (Å³ per cell) = 198.7
- raw total energy (eV per cell) = -9.78
- density of states at the Fermi level (states/eV per atom) = 0.69
- excess energy over the best structure of this formula in the dataset (meV/atom) = 0
- size of the total moment (μB/f.u.) = 0.0
- formation energy (kJ per mole of atoms) = -6.33

---

- Which of these has the lowest formation energy?
  K4Cd12HgPt3

---

- The lowest formation energy belongs to which entry?
  K4Cd12HgPt3

---

- What is the formula in the second record?
  K2CdHgPt

---

- What is the volume in the first record?
  1233.9 Å³ per cell